Entry 1:
This record from Alexandria describes an optimized crystal structure of IrPtNO2. The functional is PBE.

Geometry as POSCAR:
```
IrPtNO2
1.0
3.944 0.000 0.000
0.000 3.944 0.000
0.000 0.000 3.830
Ir Pt N O
1 1 1 2
Cartesian
0.000 0.000 0.000 Ir
1.972 1.972 1.915 Pt
0.000 0.000 1.915 N
0.000 1.972 0.000 O
1.972 0.000 0.000 O
```

Output
Its symmetry is No. 123. The calculation puts the uncorrected formation energy at 0.828 eV/atom. As for the total energy: -5.801 eV per atom. The mass density is 12.077 Mg/m³.

=====

Entry 2:
This record from Alexandria describes an optimized crystal structure of Nd4BiN. The functional is PBE.

Geometry as POSCAR:
```
Nd4BiN
1.0
7.624 -3.089 0.000
7.624 3.089 0.000
-2.157 0.000 7.125
Nd Bi N
8 2 2
Cartesian
0.591 0.466 3.155 Nd
-0.487 -0.466 6.718 Nd
2.923 0.357 5.813 Nd
4.002 -0.357 2.250 Nd
9.089 0.357 4.875 Nd
10.167 -0.357 1.313 Nd
13.578 0.466 0.408 Nd
12.499 -0.466 3.970 Nd
7.084 0.685 1.781 Bi
6.006 -0.685 5.344 Bi
2.733 1.545 3.563 N
3.812 -1.545 0.000 N
```

Output
Its symmetry is No. 15. The calculation puts the uncorrected formation energy at -0.680 eV/atom. As for the total energy: -5.893 eV per atom. The mass density is 7.916 Mg/m³.